[1]
A relaxed SnHPd3 crystal, computed with GGA-PBE.

mass density	9.20	g/cm³
relative energy among the computed polymorphs	239	meV per atom

a = 8.0520 Å, b = 8.0520 Å, c = 6.9010 Å
α = 97.29°, β = 97.29°, γ = 20.92°
Fractional coordinates of all 10 atoms:
1 Sn 0.1179 0.1179 0.3383
2 Sn 0.8821 0.8821 0.6617
3 H 0.3797 0.3797 0.1508
4 H 0.6203 0.6203 0.8492
5 Pd 0.0499 0.0499 0.6857
6 Pd 0.1744 0.1744 0.9955
7 Pd 0.2932 0.2932 0.3545
8 Pd 0.7068 0.7068 0.6455
9 Pd 0.8256 0.8256 0.0045
10 Pd 0.9501 0.9501 0.3143

---

[2]
A relaxed TaNiSe3 crystal, computed with GGA-PBE.

mass density	6.57	g/cm³
uncorrected formation energy	-0.58	eV per atom
relative energy among the computed polymorphs	0	meV per atom

a = 3.5145 Å, b = 11.7168 Å, c = 11.7168 Å
α = 150.07°, β = 90.00°, γ = 90.00°
Fractional coordinates of all 10 atoms:
1 Ta 0.2500 0.1671 0.8329
2 Ta 0.7500 0.8329 0.1671
3 Ni 0.2500 0.1975 0.4662
4 Ni 0.7500 0.4662 0.1975
5 Se 0.2500 0.2962 0.1484
6 Se 0.2500 0.5928 0.8510
7 Se 0.2500 0.9677 0.4322
8 Se 0.7500 0.1484 0.2962
9 Se 0.7500 0.4322 0.9677
10 Se 0.7500 0.8510 0.5928

---

[3]
A relaxed PuCrB14 crystal, computed with GGA-PBE.

mass density	5.77	g/cm³
ΔH_f (0 K)	-130	meV/atom

a = 7.3559 Å, b = 7.3559 Å, c = 7.3559 Å
α = 133.19°, β = 86.76°, γ = 111.85°
Fractional coordinates of all 32 atoms:
1 Pu 0.3816 0.1316 0.2500
2 Pu 0.6184 0.8684 0.7500
3 Cr 0.0000 0.0000 0.5000
4 Cr 0.0000 0.5000 0.0000
5 B 0.0002 0.1306 0.8696
6 B 0.9998 0.8694 0.1304
7 B 0.0307 0.2041 0.3305
8 B 0.0307 0.7003 0.8267
9 B 0.0845 0.6694 0.4151
10 B 0.1988 0.5319 0.6669
11 B 0.2224 0.5005 0.4009
12 B 0.2224 0.8215 0.7219
13 B 0.2390 0.8694 0.3696
14 B 0.2457 0.3306 0.9151
15 B 0.3650 0.5319 0.8331
16 B 0.3736 0.2041 0.6733
17 B 0.3736 0.7003 0.1695
18 B 0.4004 0.1785 0.9009
19 B 0.4004 0.4995 0.2219
20 B 0.5996 0.5005 0.7781
21 B 0.5996 0.8215 0.0991
22 B 0.6264 0.2997 0.8305
23 B 0.6264 0.7959 0.3267
24 B 0.6350 0.4681 0.1669
25 B 0.7543 0.6694 0.0849
26 B 0.7610 0.1306 0.6304
27 B 0.7776 0.1785 0.2781
28 B 0.7776 0.4995 0.5991
29 B 0.8012 0.4681 0.3331
30 B 0.9155 0.3306 0.5849
31 B 0.9693 0.2997 0.1733
32 B 0.9693 0.7959 0.6695